(1)
# ScInSCl2 PBE optimized geometry
# DOS(E_F) in states/eV/atom: 1.17
# ΔE to the lowest computed polymorph in eV/atom: 1.015
# E in eV for the cell shown: -18.8
# E_form (uncorrected) in kJ/mol of atoms: -37
data_ScInSCl2
_cell_length_a 5.2176
_cell_length_b 5.2176
_cell_length_c 5.2544
_cell_angle_alpha 90.00
_cell_angle_beta 90.00
_cell_angle_gamma 90.00
_symmetry_space_group_name_H-M 'P 4/m m m'
_symmetry_Int_Tables_number 123
_symmetry_space_group_name_Hall '-P 4 2'
loop_
_atom_site_label
_atom_site_type_symbol
_atom_site_fract_x
_atom_site_fract_y
_atom_site_fract_z
Sc1 Sc 0.0000 0.0000 0.0000
In1 In 0.5000 0.5000 0.5000
S1 S 0.5000 0.5000 0.0000
Cl1 Cl 0.0000 0.5000 0.5000

(2)
# Th6Sn3Ru PBE optimized geometry
# DOS(E_F) in states/eV/atom: 1.01
# E_form in meV/atom: -313.7
# E in eV for the cell shown: -413.6
data_Th6Sn3Ru
_cell_length_a 11.3914
_cell_length_b 11.3914
_cell_length_c 16.0448
_cell_angle_alpha 90.00
_cell_angle_beta 90.00
_cell_angle_gamma 120.00
_symmetry_space_group_name_H-M 'R -3'
_symmetry_Int_Tables_number 148
_symmetry_space_group_name_Hall '-R 3'
loop_
_atom_site_label
_atom_site_type_symbol
_atom_site_fract_x
_atom_site_fract_y
_atom_site_fract_z
Th1 Th 0.1104 0.2216 0.3994
Th2 Th 0.1096 0.5549 0.7706
Sn1 Sn 0.0734 0.5363 0.4126
Ru1 Ru 0.0000 0.0000 0.0000
Ru2 Ru 0.0000 0.0000 0.5000

(3)
# Pr3MgNi3 PBE optimized geometry
# DOS(E_F) in states/eV/atom: 0.73
# ΔE to the lowest computed polymorph in eV/atom: 0.107
# E_form in meV/atom: -150.4
# E in eV for the cell shown: -137.3
data_Pr3MgNi3
_cell_length_a 8.8210
_cell_length_b 10.4059
_cell_length_c 6.9471
_cell_angle_alpha 90.00
_cell_angle_beta 90.62
_cell_angle_gamma 90.00
_symmetry_space_group_name_H-M 'C 1 2/m 1'
_symmetry_Int_Tables_number 12
loop_
_symmetry_equiv_pos_as_xyz
'x,y,z'
'-x,-y,-z'
'-x,y,-z'
'x,-y,z'
'x+1/2,y+1/2,z'
'-x+1/2,-y+1/2,-z'
'-x+1/2,y+1/2,-z'
'x+1/2,-y+1/2,z'
loop_
_atom_site_label
_atom_site_type_symbol
_atom_site_fract_x
_atom_site_fract_y
_atom_site_fract_z
Pr1 Pr 0.0000 0.1675 0.0000
Pr2 Pr 0.0000 0.2499 0.5000
Pr3 Pr 0.1526 0.5000 0.8577
Mg1 Mg 0.2492 0.0000 0.6445
Ni1 Ni 0.0653 0.0000 0.3311
Ni2 Ni 0.2329 0.2736 0.1948

(4)
# CsHgTe2 PBE optimized geometry
# DOS(E_F) in states/eV/atom: 1.00
# E in eV for the cell shown: -22.9
# E_form (uncorrected) in kJ/mol of atoms: -4
data_CsHgTe2
_cell_length_a 4.3652
_cell_length_b 4.3652
_cell_length_c 31.6053
_cell_angle_alpha 90.00
_cell_angle_beta 90.00
_cell_angle_gamma 120.00
_symmetry_space_group_name_H-M 'R -3 m'
_symmetry_Int_Tables_number 166
_symmetry_space_group_name_Hall '-R 3 2"'
loop_
_atom_site_label
_atom_site_type_symbol
_atom_site_fract_x
_atom_site_fract_y
_atom_site_fract_z
Cs1 Cs 0.0000 0.0000 0.0000
Hg1 Hg 0.0000 0.0000 0.5000
Te1 Te 0.0000 0.0000 0.1135

(5)
# Mn2SiCl PBE optimized geometry
# DOS(E_F) in states/eV/atom: 0.31
# ΔE to the lowest computed polymorph in eV/atom: 0.168
# E in eV for the cell shown: -25.1
# E_form (uncorrected) in kJ/mol of atoms: 12
data_Mn2SiCl
_cell_length_a 3.5725
_cell_length_b 3.5900
_cell_length_c 5.3244
_cell_angle_alpha 90.00
_cell_angle_beta 90.00
_cell_angle_gamma 90.00
_symmetry_space_group_name_H-M 'P m m m'
_symmetry_Int_Tables_number 47
loop_
_symmetry_equiv_pos_as_xyz
'x,y,z'
'-x,-y,-z'
'-x,-y,z'
'x,y,-z'
'x,-y,-z'
'-x,y,z'
'-x,y,-z'
'x,-y,z'
loop_
_atom_site_label
_atom_site_type_symbol
_atom_site_fract_x
_atom_site_fract_y
_atom_site_fract_z
Mn1 Mn 0.0000 0.0000 0.0000
Mn2 Mn 0.5000 0.5000 0.5000
Si1 Si 0.0000 0.0000 0.5000
Cl1 Cl 0.5000 0.5000 0.0000

(6)
# ZnWS2Cl PBE optimized geometry
# DOS(E_F) in states/eV/atom: 0.93
# ΔE to the lowest computed polymorph in eV/atom: 0.000
# E in eV for the cell shown: -24.1
# E_form (uncorrected) in kJ/mol of atoms: 4
data_ZnWS2Cl
_cell_length_a 4.6817
_cell_length_b 4.6817
_cell_length_c 4.9097
_cell_angle_alpha 90.00
_cell_angle_beta 90.00
_cell_angle_gamma 90.00
_symmetry_space_group_name_H-M 'P 4/m m m'
_symmetry_Int_Tables_number 123
_symmetry_space_group_name_Hall '-P 4 2'
loop_
_atom_site_label
_atom_site_type_symbol
_atom_site_fract_x
_atom_site_fract_y
_atom_site_fract_z
Zn1 Zn 0.0000 0.0000 0.0000
W1 W 0.5000 0.5000 0.5000
S1 S 0.0000 0.5000 0.5000
Cl1 Cl 0.5000 0.5000 0.0000

(7)
# V4Ir PBE optimized geometry
# DOS(E_F) in states/eV/atom: 0.85
# ΔE to the lowest computed polymorph in eV/atom: 0.000
# E_form in meV/atom: -147.4
# E in eV for the cell shown: -184.3
data_V4Ir
_cell_length_a 3.2190
_cell_length_b 4.3122
_cell_length_c 19.8902
_cell_angle_alpha 90.00
_cell_angle_beta 90.00
_cell_angle_gamma 90.00
_symmetry_space_group_name_H-M 'F m m m'
_symmetry_Int_Tables_number 69
_symmetry_space_group_name_Hall '-F 2 2'
loop_
_atom_site_label
_atom_site_type_symbol
_atom_site_fract_x
_atom_site_fract_y
_atom_site_fract_z
V1 V 0.0000 0.0000 0.1005
V2 V 0.0000 0.0000 0.2998
Ir1 Ir 0.0000 0.0000 0.5000

(8)
# RuRh PBE optimized geometry
# DOS(E_F) in states/eV/atom: 0.78
# E_form in meV/atom: 1149.0
# E in eV for the cell shown: -28.7
data_RuRh
_cell_length_a 3.8620
_cell_length_b 3.8620
_cell_length_c 6.4198
_cell_angle_alpha 90.00
_cell_angle_beta 90.00
_cell_angle_gamma 120.00
_symmetry_space_group_name_H-M 'P 63 m c'
_symmetry_Int_Tables_number 186
_symmetry_space_group_name_Hall 'P 6c -2c'
loop_
_atom_site_label
_atom_site_type_symbol
_atom_site_fract_x
_atom_site_fract_y
_atom_site_fract_z
Ru1 Ru 0.3333 0.6667 0.0000
Rh1 Rh 0.3333 0.6667 0.3721